1.
{
  "formula": "NdCuPbSe2S",
  "functional": "PBE",
  "state": "relaxed",
  "lattice": [[0.574, 1.073, 6.961], [-2.025, -4.417, -5.132], [9.720, -4.294, -0.140]],
  "species": ["Cu", "Se", "Se", "Se", "Se", "S", "Pb", "Cu", "Pb", "Nd", "S", "Nd"],
  "frac_coords": [[0.527, 0.473, 0.250], [0.647, 0.353, 0.073], [0.353, 0.647, 0.927], [0.647, 0.353, 0.427], [0.353, 0.647, 0.573], [0.071, 0.929, 0.750], [0.746, 0.254, 0.750], [0.473, 0.527, 0.750], [0.254, 0.746, 0.250], [0.000, 0.000, 0.000], [0.929, 0.071, 0.250], [0.000, 0.000, 0.500]],
  "final_energy_ev_per_atom": -4.9074
}

=====

2.
{
  "formula": "NdCuTePbS2",
  "functional": "PBE",
  "state": "relaxed",
  "lattice": [[2.050, -6.989, 0.000], [2.050, 6.989, 0.000], [0.000, 0.000, 11.305]],
  "species": ["Te", "Nd", "Pb", "Cu", "S", "S", "S", "Pb", "Te", "S", "Cu", "Nd"],
  "frac_coords": [[0.897, 0.103, 0.250], [0.000, 0.000, 0.500], [0.211, 0.789, 0.250], [0.478, 0.522, 0.750], [0.623, 0.377, 0.415], [0.623, 0.377, 0.085], [0.377, 0.623, 0.915], [0.789, 0.211, 0.750], [0.103, 0.897, 0.750], [0.377, 0.623, 0.585], [0.522, 0.478, 0.250], [0.000, 0.000, 0.000]],
  "final_energy_ev_per_atom": -4.8840
}

=====

3.
{
  "formula": "Nd2CuSb4Pb",
  "functional": "PBE",
  "state": "relaxed",
  "lattice": [[-3.241, 1.286, -2.700], [2.342, -1.383, -3.471], [-4.749, -10.182, 0.852]],
  "species": ["Sb", "Sb", "Pb", "Nd", "Nd", "Sb", "Sb", "Cu"],
  "frac_coords": [[0.000, 0.000, 0.500], [0.500, 0.500, 0.500], [0.500, 0.500, 0.000], [0.000, 0.500, 0.720], [0.500, 0.000, 0.280], [0.000, 0.500, 0.201], [0.500, 0.000, 0.799], [0.000, 0.000, 0.000]],
  "final_energy_ev_per_atom": -4.6771
}

=====

4.
{
  "formula": "NdCuPbSe3",
  "functional": "PBE",
  "state": "relaxed",
  "lattice": [[-9.335, 1.810, -1.984], [-9.519, 0.338, 1.906], [2.804, 7.308, 2.897]],
  "species": ["Se", "Se", "Se", "Pb", "Se", "Nd", "Cu", "Se", "Se", "Nd", "Pb", "Cu"],
  "frac_coords": [[0.329, 0.329, 0.165], [0.324, 0.324, 0.655], [0.676, 0.676, 0.345], [0.879, 0.879, 0.932], [0.671, 0.671, 0.835], [0.161, 0.161, 0.585], [0.540, 0.540, 0.704], [0.500, 0.500, 0.000], [0.000, 0.000, 0.500], [0.839, 0.839, 0.415], [0.121, 0.121, 0.068], [0.460, 0.460, 0.296]],
  "final_energy_ev_per_atom": -4.7022
}

=====

5.
{
  "formula": "NdCuPbSe3",
  "functional": "PBE",
  "state": "relaxed",
  "lattice": [[8.049, 0.000, 0.000], [0.000, 4.125, 0.000], [-2.384, 0.000, 9.658]],
  "species": ["Nd", "Se", "Se", "Nd", "Cu", "Se", "Cu", "Se", "Se", "Se", "Pb", "Pb"],
  "frac_coords": [[0.301, 0.750, 0.841], [0.040, 0.250, 0.828], [0.432, 0.750, 0.149], [0.699, 0.250, 0.159], [0.073, 0.250, 0.585], [0.568, 0.250, 0.851], [0.927, 0.750, 0.415], [0.243, 0.750, 0.539], [0.960, 0.750, 0.172], [0.757, 0.250, 0.461], [0.241, 0.250, 0.302], [0.759, 0.750, 0.698]],
  "final_energy_ev_per_atom": -4.7523
}

=====

6.
{
  "formula": "NdCuTe2PbSe",
  "functional": "PBE",
  "state": "relaxed",
  "lattice": [[2.136, -7.274, 0.000], [2.136, 7.274, 0.000], [0.000, 0.000, 10.977]],
  "species": ["Se", "Nd", "Pb", "Te", "Te", "Cu", "Cu", "Te", "Se", "Nd", "Pb", "Te"],
  "frac_coords": [[0.573, 0.427, 0.250], [0.500, 0.500, 0.000], [0.239, 0.761, 0.250], [0.150, 0.850, 0.570], [0.150, 0.850, 0.930], [0.027, 0.973, 0.750], [0.973, 0.027, 0.250], [0.850, 0.150, 0.430], [0.427, 0.573, 0.750], [0.500, 0.500, 0.500], [0.761, 0.239, 0.750], [0.850, 0.150, 0.070]],
  "final_energy_ev_per_atom": -4.4668
}

=====

7.
{
  "formula": "Nd2Cu2SnPb",
  "functional": "PBE",
  "state": "relaxed",
  "lattice": [[-2.908, 1.513, 3.291], [0.032, -4.492, -1.185], [5.289, -1.360, 5.298]],
  "species": ["Pb", "Cu", "Nd", "Nd", "Sn", "Cu"],
  "frac_coords": [[0.000, 0.000, 0.762], [0.000, 0.000, 0.189], [0.667, 0.333, 0.491], [0.667, 0.333, 0.996], [0.333, 0.667, 0.262], [0.333, 0.667, 0.672]],
  "final_energy_ev_per_atom": -4.6098
}

=====

8.
{
  "formula": "TbNd2Cu4Pb4",
  "functional": "PBE",
  "state": "relaxed",
  "lattice": [[-7.035, 0.297, 5.159], [-8.109, -0.526, -3.188], [7.887, -3.602, 1.005]],
  "species": ["Cu", "Pb", "Tb", "Cu", "Pb", "Nd", "Pb", "Cu", "Cu", "Pb", "Nd"],
  "frac_coords": [[0.015, 0.330, 0.685], [0.785, 0.785, 0.000], [0.000, 0.000, 0.000], [0.645, 0.330, 0.315], [0.288, 0.500, 0.788], [0.633, 0.133, 0.500], [0.215, 0.215, 0.000], [0.985, 0.670, 0.315], [0.355, 0.670, 0.685], [0.712, 0.500, 0.212], [0.367, 0.867, 0.500]],
  "final_energy_ev_per_atom": -4.2933
}